A:
Computed, not measured: a relaxed Ni2HgBr crystal at the PBE level of DFT.

## Properties
Its symmetry is R-3m.

a = 3.316 Å, b = 3.316 Å, c = 21.569 Å
α = 90.00°, β = 90.00°, γ = 120.00°
Fractional coordinates of all 12 atoms:
Ni 0.000 0.000 0.247
Ni 0.000 0.000 0.753
Ni 0.333 0.667 0.420
Ni 0.333 0.667 0.914
Ni 0.667 0.333 0.086
Ni 0.667 0.333 0.580
Hg 0.000 0.000 0.000
Hg 0.333 0.667 0.667
Hg 0.667 0.333 0.333
Br 0.000 0.000 0.500
Br 0.333 0.667 0.167
Br 0.667 0.333 0.833



B:
Computed, not measured: a relaxed Ni2HgBr crystal at the PBE level of DFT.

## Properties
Its symmetry is P4/mmm.

a = 3.256 Å, b = 3.256 Å, c = 6.311 Å
α = 90.00°, β = 90.00°, γ = 90.00°
Fractional coordinates of all 4 atoms:
Ni 0.000 0.000 0.228
Ni 0.000 0.000 0.772
Hg 0.500 0.500 0.000
Br 0.500 0.500 0.500



C:
Computed, not measured: a relaxed Ni2HgBr crystal at the PBE level of DFT.

## Properties
Its symmetry is Fm-3m.

a = 6.425 Å, b = 6.425 Å, c = 6.425 Å
α = 90.00°, β = 90.00°, γ = 90.00°
Fractional coordinates of all 16 atoms:
Ni 0.250 0.250 0.250
Ni 0.250 0.250 0.750
Ni 0.250 0.750 0.250
Ni 0.250 0.750 0.750
Ni 0.750 0.250 0.250
Ni 0.750 0.250 0.750
Ni 0.750 0.750 0.250
Ni 0.750 0.750 0.750
Hg 0.000 0.000 0.000
Hg 0.000 0.500 0.500
Hg 0.500 0.000 0.500
Hg 0.500 0.500 0.000
Br 0.000 0.000 0.500
Br 0.000 0.500 0.000
Br 0.500 0.000 0.000
Br 0.500 0.500 0.500



D:
Computed, not measured: a relaxed Ni2HgBr crystal at the PBE level of DFT.

## Properties
Its symmetry is F-43m.

a = 6.535 Å, b = 6.535 Å, c = 6.535 Å
α = 90.00°, β = 90.00°, γ = 90.00°
Fractional coordinates of all 16 atoms:
Ni 0.000 0.000 0.000
Ni 0.000 0.500 0.500
Ni 0.250 0.250 0.250
Ni 0.250 0.750 0.750
Ni 0.500 0.000 0.500
Ni 0.500 0.500 0.000
Ni 0.750 0.250 0.750
Ni 0.750 0.750 0.250
Hg 0.250 0.250 0.750
Hg 0.250 0.750 0.250
Hg 0.750 0.250 0.250
Hg 0.750 0.750 0.750
Br 0.000 0.000 0.500
Br 0.000 0.500 0.000
Br 0.500 0.000 0.000
Br 0.500 0.500 0.500



Question: of the structures shown, which is the least stable? Reply: D.